Entry 1:
VASP calculation (PBE) on KCa2Tc after structural relaxation.

abc: 12.1395 12.1395 12.1395
angles: 17.12 17.12 17.12
With the nearest neighbours (Å) after each atom.
Sites, in units of the cell vectors:
K1 0.2500 0.2500 0.2500  6 K 3.61
Tc1 0.7500 0.7500 0.7500  6 Ca 2.92
Ca1 0.0264 0.0264 0.0264  3 Tc 2.92
Ca2 0.4736 0.4736 0.4736  3 Tc 2.92

## Properties
For the energy relative to the elements, the calculation gives 0.6487 eV per atom. The relative energy among the computed polymorphs comes out at 141.0 meV/atom. The calculation puts the total energy at -12.87 eV per cell. For the density of states at the Fermi level, the calculation gives 1.0818 states/eV/atom.


Entry 2:
VASP calculation (PBE) on KCaTc2 after structural relaxation.

abc: 11.1236 11.1236 11.1236
angles: 15.12 15.12 15.12
With the nearest neighbours (Å) after each atom.
Sites, in units of the cell vectors:
Tc1 0.9936 0.9936 0.9936  6 Tc 2.93, 3 Ca 3.05
Tc2 0.5064 0.5064 0.5064  6 Tc 2.93, 3 Ca 3.05
K1 0.7500 0.7500 0.7500  6 K 2.93
Ca1 0.2500 0.2500 0.2500  6 Ca 2.93, 6 Tc 3.05

## Properties
For the energy relative to the elements, the calculation gives 1.1714 eV per atom. The relative energy among the computed polymorphs comes out at 678.2 meV/atom. The calculation puts the total energy at -19.15 eV per cell. For the density of states at the Fermi level, the calculation gives 1.3128 states/eV/atom.


Entry 3:
VASP calculation (PBE) on KCaTc2 after structural relaxation.

abc: 3.9673 3.9673 7.3493
angles: 90.00 90.00 90.00
With the nearest neighbours (Å) after each atom.
Sites, in units of the cell vectors:
Tc1 0.0000 0.0000 0.1046  1 Tc 2.14
Tc2 0.0000 0.0000 0.3954  1 Tc 2.14
K1 0.5000 0.5000 0.7500  2 Ca 3.67, 8 Tc 3.83, 4 K 3.97
Ca1 0.5000 0.5000 0.2500  8 Tc 3.00

## Properties
For the energy relative to the elements, the calculation gives 1.0752 eV per atom. The relative energy among the computed polymorphs comes out at 582.0 meV/atom. The calculation puts the total energy at -19.53 eV per cell. For the density of states at the Fermi level, the calculation gives 1.6120 states/eV/atom.


Entry 4:
VASP calculation (PBE) on KCa2Tc after structural relaxation.

abc: 5.6120 5.6120 3.7801
angles: 90.00 90.00 90.18
With the nearest neighbours (Å) after each atom.
Sites, in units of the cell vectors:
Tc1 0.0000 0.5000 0.5000  8 Ca 3.38, 2 Tc 3.78
Ca1 0.0000 0.0000 0.0000  4 Tc 3.38, 4 K 3.38, 2 Ca 3.78
Ca2 0.5000 0.5000 0.0000  4 K 3.38, 4 Tc 3.38, 2 Ca 3.78
K1 0.5000 0.0000 0.5000  8 Ca 3.38, 2 K 3.78

## Properties
For the energy relative to the elements, the calculation gives 0.9041 eV per atom. The relative energy among the computed polymorphs comes out at 396.4 meV/atom. The calculation puts the total energy at -11.85 eV per cell. For the density of states at the Fermi level, the calculation gives 1.1471 states/eV/atom.


Entry 5:
VASP calculation (PBE) on KCa2Tc after structural relaxation.

abc: 7.2240 7.2240 7.2240
angles: 151.71 127.18 60.99
With the nearest neighbours (Å) after each atom.
Sites, in units of the cell vectors:
K1 0.7500 0.2500 0.5000  2 K 3.53, 4 Tc 3.67
Tc1 0.2500 0.7500 0.5000  4 Ca 2.93
Ca1 0.0622 0.0622 0.0000  2 Tc 2.93
Ca2 0.4378 0.4378 0.0000  2 Tc 2.93

## Properties
For the energy relative to the elements, the calculation gives 0.7916 eV per atom. The relative energy among the computed polymorphs comes out at 283.9 meV/atom. The calculation puts the total energy at -12.30 eV per cell. For the density of states at the Fermi level, the calculation gives 0.7761 states/eV/atom.


Entry 6:
VASP calculation (PBE) on KCaTc after structural relaxation.

abc: 5.4939 5.4939 2.8371
angles: 90.00 90.00 120.00
With the nearest neighbours (Å) after each atom.
Sites, in units of the cell vectors:
K1 0.6667 0.3333 0.1675  2 K 2.84, 3 Ca 3.17
Ca1 0.0000 0.0000 0.1659  2 Ca 2.84, 3 K 3.17
Tc1 0.3333 0.6667 0.6666  2 Tc 2.84

## Properties
For the energy relative to the elements, the calculation gives 1.1274 eV per atom. The relative energy among the computed polymorphs comes out at 151.3 meV/atom. The calculation puts the total energy at -10.08 eV per cell. For the density of states at the Fermi level, the calculation gives 1.0134 states/eV/atom.


Entry 7:
VASP calculation (PBE) on KCa2Tc after structural relaxation.

abc: 9.4359 9.4359 9.4359
angles: 159.27 149.31 37.32
With the nearest neighbours (Å) after each atom.
Sites, in units of the cell vectors:
K1 0.4146 0.4146 0.0000  2 K 3.40, 2 Tc 3.61
Ca1 0.7462 0.2462 0.5000  4 Tc 3.02
Ca2 0.1027 0.1027 0.0000  2 Tc 2.93
Tc1 0.2364 0.7364 0.5000  6 Ca 2.93-3.02

## Properties
For the energy relative to the elements, the calculation gives 0.6936 eV per atom. The relative energy among the computed polymorphs comes out at 185.9 meV/atom. The calculation puts the total energy at -12.69 eV per cell. For the density of states at the Fermi level, the calculation gives 0.9198 states/eV/atom.


Entry 8:
VASP calculation (PBE) on KCa2Tc after structural relaxation.

abc: 5.5350 5.5350 5.5350
angles: 60.00 60.00 60.00
With the nearest neighbours (Å) after each atom.
Sites, in units of the cell vectors:
Tc1 0.5000 0.5000 0.5000  8 Ca 3.39
Ca1 0.7500 0.7500 0.7500  4 K 3.39, 4 Tc 3.39
Ca2 0.2500 0.2500 0.2500  4 Tc 3.39, 4 K 3.39
K1 0.0000 0.0000 0.0000  8 Ca 3.39

## Properties
For the energy relative to the elements, the calculation gives 0.8196 eV per atom. The relative energy among the computed polymorphs comes out at 311.9 meV/atom. The calculation puts the total energy at -12.19 eV per cell. For the density of states at the Fermi level, the calculation gives 1.3411 states/eV/atom.


Entry 9:
VASP calculation (PBE) on KCaTc2 after structural relaxation.

abc: 8.5898 8.5898 6.6086
angles: 49.47 49.47 90.00
With the nearest neighbours (Å) after each atom.
Sites, in units of the cell vectors:
Tc1 0.1185 0.6250 0.2500  2 Tc 2.61
Tc2 0.6315 0.1250 0.2500  2 Tc 2.61
Tc3 0.8750 0.8815 0.7500  2 Tc 2.61
Tc4 0.3750 0.3685 0.7500  2 Tc 2.61
K1 0.2500 0.7500 0.5000  2 Ca 2.60
K2 0.5000 0.5000 0.0000  2 Ca 2.60
Ca1 0.0000 0.0000 0.0000  2 K 2.60
Ca2 0.7500 0.2500 0.5000  2 K 2.60

## Properties
For the energy relative to the elements, the calculation gives 1.6532 eV per atom. The relative energy among the computed polymorphs comes out at 1160.0 meV/atom. The calculation puts the total energy at -34.44 eV per cell. For the density of states at the Fermi level, the calculation gives 1.2889 states/eV/atom.


Entry 10:
VASP calculation (PBE) on KCaTc after structural relaxation.

abc: 5.3589 5.3589 5.3589
angles: 60.00 60.00 60.00
With the nearest neighbours (Å) after each atom.
Sites, in units of the cell vectors:
Tc1 0.7500 0.7500 0.7500  4 K 3.28, 4 Ca 3.28
Ca1 0.0000 0.0000 0.0000  4 Tc 3.28
K1 0.5000 0.5000 0.5000  4 Tc 3.28

## Properties
For the energy relative to the elements, the calculation gives 1.4630 eV per atom. The relative energy among the computed polymorphs comes out at 486.9 meV/atom. The calculation puts the total energy at -9.08 eV per cell. For the density of states at the Fermi level, the calculation gives 1.8200 states/eV/atom.


Entry 11:
VASP calculation (PBE) on KCaTc after structural relaxation.

abc: 3.3209 3.3209 8.8815
angles: 90.00 90.00 120.00
With the nearest neighbours (Å) after each atom.
Sites, in units of the cell vectors:
Ca1 0.0000 0.0000 0.9374  3 Tc 2.94
K1 0.6667 0.3333 0.3759  6 K 3.32, 3 Tc 3.36
Tc1 0.3333 0.6667 0.6868  3 Ca 2.94

## Properties
For the energy relative to the elements, the calculation gives 1.0610 eV per atom. The relative energy among the computed polymorphs comes out at 84.9 meV/atom. The calculation puts the total energy at -10.28 eV per cell. For the density of states at the Fermi level, the calculation gives 0.9674 states/eV/atom.


Entry 12:
VASP calculation (PBE) on K2CaTe after structural relaxation.

abc: 5.1618 9.4144 5.9553
angles: 50.86 89.93 123.22
With the nearest neighbours (Å) after each atom.
Sites, in units of the cell vectors:
K1 0.0000 0.5000 0.5000  4 K 3.65, 4 Te 3.94, 4 Ca 3.94
K2 0.0000 0.0000 0.0000  4 K 3.65, 4 Ca 3.94, 4 Te 3.94
Ca1 0.5000 0.0000 0.5000  4 Te 3.65, 8 K 3.94
Te1 0.5000 0.5000 0.0000  4 Ca 3.65, 8 K 3.94

## Properties
The calculation puts the total energy at -9.31 eV per cell. The formation energy from raw total energies is -0.49 eV/atom. For the density of states at the Fermi level, the calculation gives 0.1725 states/eV/atom.


Entry 13:
VASP calculation (PBE) on K2CaTe after structural relaxation.

abc: 12.3246 12.3246 9.2270
angles: 48.10 48.10 90.00
With the nearest neighbours (Å) after each atom.
Sites, in units of the cell vectors:
K1 0.8750 0.0046 0.7500  2 Te 3.50
K2 0.9954 0.6250 0.2500  2 Te 3.50
K3 0.3750 0.2454 0.7500  2 Te 3.50
K4 0.7546 0.1250 0.2500  2 Te 3.50
Te1 0.0000 0.0000 0.0000  2 Ca 3.03
Te2 0.7500 0.2500 0.5000  2 Ca 3.03
Ca1 0.5000 0.5000 0.0000  2 Te 3.03
Ca2 0.2500 0.7500 0.5000  2 Te 3.03

## Properties
The calculation puts the total energy at -18.72 eV per cell. The formation energy from raw total energies is -0.51 eV/atom. For the density of states at the Fermi level, the calculation gives 0.5518 states/eV/atom.


Entry 14:
VASP calculation (PBE) on K3CaTe after structural relaxation.

abc: 6.7426 6.7426 6.7426
angles: 90.00 90.00 90.00
With the nearest neighbours (Å) after each atom.
Sites, in units of the cell vectors:
K1 0.0000 0.0000 0.5000  2 Te 3.37
K2 0.5000 0.0000 0.0000  2 Te 3.37
K3 0.0000 0.5000 0.0000  2 Te 3.37
Ca1 0.5000 0.5000 0.5000  12 K 4.77
Te1 0.0000 0.0000 0.0000  6 K 3.37

## Properties
The relative energy among the computed polymorphs comes out at 0.0 meV/atom. The calculation puts the total energy at -9.95 eV per cell. The formation energy from raw total energies is -0.30 eV/atom. For the density of states at the Fermi level, the calculation gives 1.1028 states/eV/atom.


Entry 15:
VASP calculation (PBE) on K2CaTe after structural relaxation.

abc: 8.5692 8.5692 8.5692
angles: 151.08 140.00 50.11
With the nearest neighbours (Å) after each atom.
Sites, in units of the cell vectors:
K1 0.3258 0.8258 0.5000  2 Te 3.68, 2 K 3.90
K2 0.9919 0.9919 0.0000  4 Te 3.65, 2 K 3.90, 2 Ca 3.96
Ca1 0.6635 0.1635 0.5000  2 Te 3.10
Te1 0.5188 0.5188 0.0000  2 Ca 3.10

## Properties
The calculation puts the total energy at -9.78 eV per cell. The formation energy from raw total energies is -0.61 eV/atom. For the density of states at the Fermi level, the calculation gives 0.4532 states/eV/atom.


Entry 16:
VASP calculation (PBE) on KCa3Te after structural relaxation.

abc: 6.1842 6.1842 6.1842
angles: 90.00 90.00 90.00
With the nearest neighbours (Å) after each atom.
Sites, in units of the cell vectors:
Ca1 0.5000 0.0000 0.0000  2 Te 3.09
Ca2 0.0000 0.0000 0.5000  2 Te 3.09
Ca3 0.0000 0.5000 0.0000  2 Te 3.09
K1 0.5000 0.5000 0.5000  12 Ca 4.37
Te1 0.0000 0.0000 0.0000  6 Ca 3.09

## Properties
The relative energy among the computed polymorphs comes out at 0.0 meV/atom. The calculation puts the total energy at -11.92 eV per cell. The formation energy from raw total energies is -0.34 eV/atom. For the density of states at the Fermi level, the calculation gives 1.3361 states/eV/atom.


Entry 17:
VASP calculation (PBE) on K2CaTe after structural relaxation.

abc: 10.9814 10.9814 4.5988
angles: 77.84 77.84 22.23
With the nearest neighbours (Å) after each atom.
Sites, in units of the cell vectors:
Te1 0.7500 0.7500 0.7500  4 Ca 3.13
Ca1 0.2500 0.2500 0.2500  4 Te 3.13
K1 0.0841 0.0841 0.9165  2 Te 4.08, 2 Ca 4.18, 2 K 4.23
K2 0.4159 0.4159 0.5835  2 Te 4.08, 2 Ca 4.18, 2 K 4.23

## Properties
The calculation puts the total energy at -9.89 eV per cell. The formation energy from raw total energies is -0.64 eV/atom. For the density of states at the Fermi level, the calculation gives 0.6847 states/eV/atom.


Entry 18:
VASP calculation (PBE) on KCa2Te2 after structural relaxation.

abc: 5.9588 5.9588 7.2450
angles: 65.72 65.72 90.00
With the nearest neighbours (Å) after each atom.
Sites, in units of the cell vectors:
Ca1 0.3287 0.3287 0.3425  4 Te 3.12
Ca2 0.6713 0.6713 0.6575  4 Te 3.12
Te1 0.7500 0.2500 0.5000  4 Ca 3.12
Te2 0.2500 0.7500 0.5000  4 Ca 3.12
K1 0.0000 0.0000 0.0000  2 Ca 3.87, 8 Te 4.19

## Properties
The relative energy among the computed polymorphs comes out at 28.8 meV/atom. The calculation puts the total energy at -16.73 eV per cell. The formation energy from raw total energies is -1.07 eV/atom. For the density of states at the Fermi level, the calculation gives 0.6057 states/eV/atom.


Entry 19:
VASP calculation (PBE) on KCa2Te2 after structural relaxation.

abc: 8.9133 8.9133 4.2270
angles: 90.00 90.00 90.00
With the nearest neighbours (Å) after each atom.
Sites, in units of the cell vectors:
Te1 0.6516 0.1516 0.0000  6 Ca 3.30-3.40, 2 K 3.39
Te2 0.3484 0.8484 0.0000  6 Ca 3.30-3.40, 2 K 3.39
Te3 0.8484 0.6516 0.0000  6 Ca 3.30-3.40, 2 K 3.39
Te4 0.1516 0.3484 0.0000  6 Ca 3.30-3.40, 2 K 3.39
K1 0.5000 0.5000 0.0000  4 Te 3.39
K2 0.0000 0.0000 0.0000  4 Te 3.39
Ca1 0.1475 0.6475 0.5000  6 Te 3.30-3.40
Ca2 0.8525 0.3525 0.5000  6 Te 3.30-3.40
Ca3 0.3525 0.1475 0.5000  6 Te 3.30-3.40
Ca4 0.6475 0.8525 0.5000  6 Te 3.30-3.40

## Properties
The relative energy among the computed polymorphs comes out at 0.0 meV/atom. The calculation puts the total energy at -33.74 eV per cell. The formation energy from raw total energies is -1.10 eV/atom. For the density of states at the Fermi level, the calculation gives 0.2014 states/eV/atom.


Entry 20:
VASP calculation (PBE) on K2CaTe after structural relaxation.

abc: 6.1730 6.1730 6.1730
angles: 60.00 60.00 60.00
With the nearest neighbours (Å) after each atom.
Sites, in units of the cell vectors:
Te1 0.7500 0.7500 0.7500  4 K 3.78, 4 Ca 3.78
Ca1 0.5000 0.5000 0.5000  4 Te 3.78, 4 K 3.78
K1 0.2500 0.2500 0.2500  4 Ca 3.78, 4 K 3.78
K2 0.0000 0.0000 0.0000  4 K 3.78, 4 Te 3.78

## Properties
The calculation puts the total energy at -8.58 eV per cell. The formation energy from raw total energies is -0.31 eV/atom. For the density of states at the Fermi level, the calculation gives 1.0478 states/eV/atom.